[1]
Below is GaHgNF2 at its PBEsol-relaxed geometry, with properties calculated at the meta-GGA SCAN level.

It has space group P4/mmm (No. 123), with a = 4.635 Å, b = 4.635 Å, c = 4.074 Å, α = 90.00°, β = 90.00° and γ = 90.00°. Symmetry generates all atoms from Ga at (0.000, 0.000, 0.000), Hg at (0.500, 0.500, 0.500), N at (0.500, 0.500, 0.000) and F at (0.000, 0.500, 0.500).

As for the density of states at the Fermi level: 1.31 states/eV/cell. The uncorrected formation energy comes out at -8 kJ/mol of atoms.

---

[2]
Below is CoReOs2 at its PBEsol-relaxed geometry, with properties calculated at the meta-GGA SCAN level.

It has space group F-43m (No. 216), with a = 5.995 Å, b = 5.995 Å, c = 5.995 Å, α = 90.00°, β = 90.00° and γ = 90.00°. Symmetry generates all atoms from Co at (0.000, 0.000, 0.000), Re at (0.250, 0.250, 0.250), Os at (0.000, 0.000, 0.500) and Os at (0.250, 0.250, 0.750).

As for the density of states at the Fermi level: 19.80 states/eV/cell. Its energy relative to the elements is 478 meV per atom.

---

[3]
Below is NaFeN2O at its PBEsol-relaxed geometry, with properties calculated at the meta-GGA SCAN level.

It has space group P4/mmm (No. 123), with a = 3.503 Å, b = 3.503 Å, c = 4.096 Å, α = 90.00°, β = 90.00° and γ = 90.00°. Symmetry generates all atoms from Na at (0.000, 0.000, 0.000), Fe at (0.500, 0.500, 0.500), N at (0.000, 0.500, 0.500) and O at (0.500, 0.500, 0.000).

As for the density of states at the Fermi level: 1.24 states/eV/cell. The uncorrected formation energy comes out at 18 kJ/mol of atoms.

---

[4]
Below is CuPt at its PBEsol-relaxed geometry, with properties calculated at the meta-GGA SCAN level.

It has space group Pm (No. 6), with a = 7.885 Å, b = 2.699 Å, c = 8.019 Å, α = 90.00°, β = 110.10° and γ = 90.00°. Symmetry generates all atoms from Cu at (0.000, 0.000, 0.000), Cu at (0.000, 0.000, 0.311), Cu at (0.238, 0.500, 0.230), Cu at (0.243, 0.500, 0.910), Cu at (0.493, 0.000, 0.825), Cu at (0.752, 0.500, 0.074), Pt at (0.001, 0.000, 0.668), Pt at (0.243, 0.500, 0.570), Pt at (0.488, 0.000, 0.140), Pt at (0.491, 0.000, 0.484), Pt at (0.747, 0.500, 0.758) and Pt at (0.753, 0.500, 0.395).

As for the density of states at the Fermi level: 6.91 states/eV/cell. Its energy relative to the elements is -116 meV per atom.

---

[5]
Below is Ta2PCl at its PBEsol-relaxed geometry, with properties calculated at the meta-GGA SCAN level.

It has space group R-3m (No. 166, hexagonal axes), with a = 3.0629 Å, b = 3.0629 Å, c = 23.5304 Å, α = 90.00°, β = 90.00° and γ = 120.00°. Symmetry generates all atoms from Ta at (0.0000, 0.0000, 0.2434), P at (0.0000, 0.0000, 0.5000) and Cl at (0.0000, 0.0000, 0.0000).

As for the density of states at the Fermi level: 10.63 states/eV/cell. The uncorrected formation energy comes out at -5 kJ/mol of atoms.

---

[6]
Below is BiBH3 at its PBEsol-relaxed geometry, with properties calculated at the meta-GGA SCAN level.

It has space group Pm-3m (No. 221), with a = 4.069 Å, b = 4.069 Å, c = 4.069 Å, α = 90.00°, β = 90.00° and γ = 90.00°. Symmetry generates all atoms from Bi at (0.000, 0.000, 0.000), B at (0.500, 0.500, 0.500) and H at (0.000, 0.000, 0.500).

As for the density of states at the Fermi level: 1.46 states/eV/cell.

---

[7]
Below is TaBe2Tc at its PBEsol-relaxed geometry, with properties calculated at the meta-GGA SCAN level.

It has space group Cmmm (No. 65), with a = 5.088 Å, b = 6.158 Å, c = 3.059 Å, α = 90.00°, β = 90.00° and γ = 90.00°. Symmetry generates all atoms from Ta at (0.000, 0.000, 0.000), Be at (0.250, 0.250, 0.500) and Tc at (0.000, 0.500, 0.000).

As for the density of states at the Fermi level: 3.34 states/eV/cell. Its energy relative to the elements is -71 meV per atom.

---

[8]
Below is YHI3 at its PBEsol-relaxed geometry, with properties calculated at the meta-GGA SCAN level.

It has space group Pm-3m (No. 221), with a = 5.030 Å, b = 5.030 Å, c = 5.030 Å, α = 90.00°, β = 90.00° and γ = 90.00°. Symmetry generates all atoms from Y at (0.000, 0.000, 0.000), H at (0.500, 0.500, 0.500) and I at (0.000, 0.500, 0.500).

As for the density of states at the Fermi level: 1.71 states/eV/cell.

---

[9]
Below is TiMoPtPb2 at its PBEsol-relaxed geometry, with properties calculated at the meta-GGA SCAN level.

It has space group P4/mmm (No. 123), with a = 5.170 Å, b = 5.170 Å, c = 4.864 Å, α = 90.00°, β = 90.00° and γ = 90.00°. Symmetry generates all atoms from Ti at (0.000, 0.000, 0.000), Mo at (0.500, 0.500, 0.000), Pt at (0.000, 0.000, 0.500) and Pb at (0.000, 0.500, 0.500).

As for the density of states at the Fermi level: 2.38 states/eV/cell. Its energy relative to the elements is 909 meV per atom.

---

[10]
Below is YTaIr2 at its PBEsol-relaxed geometry, with properties calculated at the meta-GGA SCAN level.

It has space group F-43m (No. 216), with a = 6.455 Å, b = 6.455 Å, c = 6.455 Å, α = 90.00°, β = 90.00° and γ = 90.00°. Symmetry generates all atoms from Y at (0.000, 0.000, 0.000), Ta at (0.250, 0.250, 0.250), Ir at (0.000, 0.000, 0.500) and Ir at (0.250, 0.250, 0.750).

As for the density of states at the Fermi level: 24.25 states/eV/cell. Its energy relative to the elements is -139 meV per atom.

---

[11]
Below is LiTa2Pt2 at its PBEsol-relaxed geometry, with properties calculated at the meta-GGA SCAN level.

It has space group I4/mmm (No. 139), with a = 4.709 Å, b = 4.709 Å, c = 9.318 Å, α = 90.00°, β = 90.00° and γ = 90.00°. Symmetry generates all atoms from Li at (0.000, 0.000, 0.000), Ta at (0.000, 0.000, 0.357) and Pt at (0.000, 0.500, 0.250).

As for the density of states at the Fermi level: 7.38 states/eV/cell. Its energy relative to the elements is 35 meV per atom.

---

[12]
Below is RbMn2CrAg at its PBEsol-relaxed geometry, with properties calculated at the meta-GGA SCAN level.

It has space group P4/mmm (No. 123), with a = 4.565 Å, b = 4.565 Å, c = 5.309 Å, α = 90.00°, β = 90.00° and γ = 90.00°. Symmetry generates all atoms from Rb at (0.000, 0.000, 0.000), Mn at (0.000, 0.500, 0.500), Cr at (0.500, 0.500, 0.500) and Ag at (0.500, 0.500, 0.000).

As for the density of states at the Fermi level: 1.91 states/eV/cell. Its energy relative to the elements is 635 meV per atom.

---

[13]
Below is AlOsRu2 at its PBEsol-relaxed geometry, with properties calculated at the meta-GGA SCAN level.

It has space group I4/mmm (No. 139), with a = 3.805 Å, b = 3.805 Å, c = 7.515 Å, α = 90.00°, β = 90.00° and γ = 90.00°. Symmetry generates all atoms from Al at (0.000, 0.000, 0.000), Os at (0.000, 0.000, 0.500) and Ru at (0.000, 0.500, 0.250).

As for the density of states at the Fermi level: 9.23 states/eV/cell. Its energy relative to the elements is -142 meV per atom.

---

[14]
Below is LaFeP2 at its PBEsol-relaxed geometry, with properties calculated at the meta-GGA SCAN level.

It has space group Pm (No. 6), with a = 4.195 Å, b = 4.143 Å, c = 4.355 Å, α = 90.00°, β = 90.26° and γ = 90.00°. Symmetry generates all atoms from La at (0.000, 0.000, 0.000), Fe at (0.660, 0.500, 0.456), P at (0.153, 0.500, 0.491) and P at (0.492, 0.000, 0.529).

As for the density of states at the Fermi level: 1.57 states/eV/cell. Its energy relative to the elements is -685 meV per atom.

---

[15]
Below is BaCa2In at its PBEsol-relaxed geometry, with properties calculated at the meta-GGA SCAN level.

It has space group P4mm (No. 99), with a = 4.037 Å, b = 4.037 Å, c = 9.376 Å, α = 90.00°, β = 90.00° and γ = 90.00°. Symmetry generates all atoms from Ba at (0.000, 0.000, 0.000), Ca at (0.000, 0.000, 0.400), Ca at (0.500, 0.500, 0.669) and In at (0.500, 0.500, 0.236).

As for the density of states at the Fermi level: 2.31 states/eV/cell. Its energy relative to the elements is -299 meV per atom.

---

[16]
Below is CuAsPd3 at its PBEsol-relaxed geometry, with properties calculated at the meta-GGA SCAN level.

It has space group Pm-3m (No. 221), with a = 4.480 Å, b = 4.480 Å, c = 4.480 Å, α = 90.00°, β = 90.00° and γ = 90.00°. Symmetry generates all atoms from Cu at (0.000, 0.000, 0.000), As at (0.500, 0.500, 0.500) and Pd at (0.000, 0.000, 0.500).

As for the density of states at the Fermi level: 5.30 states/eV/cell. Its energy relative to the elements is 773 meV per atom.

---

[17]
Below is LiTaGeO5 at its PBEsol-relaxed geometry, with properties calculated at the meta-GGA SCAN level.

It has space group P2_1/c (No. 14), with a = 7.603 Å, b = 8.083 Å, c = 7.534 Å, α = 90.00°, β = 119.60° and γ = 90.00°. Symmetry generates all atoms from Li at (0.250, 0.058, 0.043), Ta at (0.250, 0.742, 0.256), Ge at (0.250, 0.112, 0.491), O at (0.051, 0.244, 0.899), O at (0.249, 0.513, 0.180), O at (0.249, 0.682, 0.501), O at (0.254, 0.511, 0.803) and O at (0.448, 0.244, 0.100).

As for the density of states at the Fermi level: 0.00 states/eV/cell. The uncorrected formation energy comes out at -241 kJ/mol of atoms.

---

[18]
Below is LaRe2Hg at its PBEsol-relaxed geometry, with properties calculated at the meta-GGA SCAN level.

It has space group Fm-3m (No. 225), with a = 6.677 Å, b = 6.677 Å, c = 6.677 Å, α = 90.00°, β = 90.00° and γ = 90.00°. Symmetry generates all atoms from La at (0.000, 0.000, 0.000), Re at (0.250, 0.250, 0.250) and Hg at (0.000, 0.000, 0.500).

As for the density of states at the Fermi level: 20.12 states/eV/cell. Its energy relative to the elements is 1232 meV per atom.

---

[19]
Below is NbRh2Br at its PBEsol-relaxed geometry, with properties calculated at the meta-GGA SCAN level.

It has space group Fm-3m (No. 225), with a = 6.373 Å, b = 6.373 Å, c = 6.373 Å, α = 90.00°, β = 90.00° and γ = 90.00°. Symmetry generates all atoms from Nb at (0.000, 0.000, 0.000), Rh at (0.250, 0.250, 0.250) and Br at (0.000, 0.000, 0.500).

As for the density of states at the Fermi level: 15.72 states/eV/cell. The uncorrected formation energy comes out at 46 kJ/mol of atoms.

---

[20]
Below is Mn2NiO6 at its PBEsol-relaxed geometry, with properties calculated at the meta-GGA SCAN level.

It has space group Cmce (No. 64), with a = 8.475 Å, b = 4.886 Å, c = 9.475 Å, α = 90.00°, β = 90.00° and γ = 90.00°. Symmetry generates all atoms from Mn at (0.167, 0.000, 0.000), Ni at (0.000, 0.000, 0.500), O at (0.000, 0.170, 0.100) and O at (0.165, 0.165, 0.400).

As for the density of states at the Fermi level: 0.00 states/eV/cell. The uncorrected formation energy comes out at -161 kJ/mol of atoms.

---

[21]
Below is ZnTcRh at its PBEsol-relaxed geometry, with properties calculated at the meta-GGA SCAN level.

It has space group I4mm (No. 107), with a = 2.729 Å, b = 2.729 Å, c = 10.892 Å, α = 90.00°, β = 90.00° and γ = 90.00°. Symmetry generates all atoms from Zn at (0.000, 0.000, 0.000), Tc at (0.000, 0.000, 0.326) and Rh at (0.000, 0.000, 0.667).

As for the density of states at the Fermi level: 3.76 states/eV/cell. Its energy relative to the elements is -159 meV per atom.

---

[22]
Below is Ag2Hg at its PBEsol-relaxed geometry, with properties calculated at the meta-GGA SCAN level.

It has space group P6_3/mmc (No. 194), with a = 4.7052 Å, b = 4.7052 Å, c = 5.6811 Å, α = 90.00°, β = 90.00° and γ = 120.00°. Symmetry generates all atoms from Ag at (0.0000, 0.0000, 0.0000), Ag at (0.3333, 0.6667, 0.2500) and Hg at (0.3333, 0.6667, 0.7500).

As for the density of states at the Fermi level: 1.54 states/eV/cell. Its energy relative to the elements is 68 meV per atom.

---

[23]
Below is CaTiCuP3O12 at its PBEsol-relaxed geometry, with properties calculated at the meta-GGA SCAN level.

It has space group R3c (No. 161, hexagonal axes), with a = 8.5319 Å, b = 8.5319 Å, c = 21.6172 Å, α = 90.00°, β = 90.00° and γ = 120.00°. Symmetry generates all atoms from Ca at (0.0000, 0.0000, 0.0000), Ti at (0.0000, 0.0000, 0.3518), Cu at (0.0000, 0.0000, 0.1440), P at (0.0024, 0.2894, 0.2465), O at (0.0311, 0.1912, 0.9133), O at (0.0309, 0.2116, 0.1868), O at (0.1544, 0.4745, 0.9719) and O at (0.1699, 0.4802, 0.2483).

The uncorrected formation energy comes out at -244 kJ/mol of atoms.

---

[24]
Below is MnAlCl2 at its PBEsol-relaxed geometry, with properties calculated at the meta-GGA SCAN level.

It has space group Cmmm (No. 65), with a = 3.321 Å, b = 5.692 Å, c = 8.782 Å, α = 90.00°, β = 90.00° and γ = 90.00°. Symmetry generates all atoms from Mn at (0.000, 0.000, 0.000), Al at (0.000, 0.000, 0.500) and Cl at (0.000, 0.500, 0.197).

As for the density of states at the Fermi level: 3.09 states/eV/cell. The uncorrected formation energy comes out at -53 kJ/mol of atoms.

---

[25]
Below is Co2RhBr at its PBEsol-relaxed geometry, with properties calculated at the meta-GGA SCAN level.

It has space group I4/mmm (No. 139), with a = 3.811 Å, b = 3.811 Å, c = 7.337 Å, α = 90.00°, β = 90.00° and γ = 90.00°. Symmetry generates all atoms from Co at (0.000, 0.500, 0.250), Rh at (0.000, 0.000, 0.000) and Br at (0.000, 0.000, 0.500).

As for the density of states at the Fermi level: 6.32 states/eV/cell. The uncorrected formation energy comes out at 80 kJ/mol of atoms.

---

Number 1: calculated total energy -20.255 eV/atom, volume 17.5 Å³/atom. Number 2: calculated total energy -57.563 eV/atom, volume 13.5 Å³/atom. Number 3: calculated total energy -9.244 eV/atom, volume 10.1 Å³/atom. Number 4: calculated total energy -42.813 eV/atom, volume 13.4 Å³/atom. Number 5: calculated total energy -37.937 eV/atom, volume 15.9 Å³/atom. Number 6: calculated total energy -17.740 eV/atom, volume 13.5 Å³/atom. Number 7: calculated total energy -27.659 eV/atom, volume 12.0 Å³/atom. Number 8: calculated total energy -28.310 eV/atom, volume 25.4 Å³/atom. Number 9: calculated total energy -53.625 eV/atom, volume 26.0 Å³/atom. Number 10: calculated total energy -59.295 eV/atom, volume 16.8 Å³/atom. Number 11: calculated total energy -55.154 eV/atom, volume 20.7 Å³/atom. Number 12: calculated total energy -20.766 eV/atom, volume 22.1 Å³/atom. Number 13: calculated total energy -37.463 eV/atom, volume 13.6 Å³/atom. Number 14: calculated total energy -21.193 eV/atom, volume 18.9 Å³/atom. Number 15: calculated total energy -23.365 eV/atom, volume 38.2 Å³/atom. Number 16: calculated total energy -25.970 eV/atom, volume 18.0 Å³/atom. Number 17: calculated total energy -17.396 eV/atom, volume 12.6 Å³/atom. Number 18: calculated total energy -62.135 eV/atom, volume 18.6 Å³/atom. Number 19: calculated total energy -29.558 eV/atom, volume 16.2 Å³/atom. Number 20: calculated total energy -11.680 eV/atom, volume 10.9 Å³/atom. Number 21: calculated total energy -27.608 eV/atom, volume 13.5 Å³/atom. Number 22: calculated total energy -43.565 eV/atom, volume 18.2 Å³/atom. Number 23: calculated total energy -10.683 eV/atom, volume 12.6 Å³/atom. Number 24: calculated total energy -11.043 eV/atom, volume 20.8 Å³/atom. Number 25: calculated total energy -21.136 eV/atom, volume 13.3 Å³/atom.